## Fe2AgRh (PBE-GGA)

Data for an optimized crystal structure of Fe2AgRh.

```
data_Fe2AgRh
_chemical_formula_sum 'Fe2 Ag1 Rh1'
_symmetry_space_group_name_H-M 'P 1'
_symmetry_Int_Tables_number 1
_symmetry_space_group_name_Hall 'P 1'
_cell_length_a 2.720
_cell_length_b 2.720
_cell_length_c 7.694
_cell_angle_alpha 90.00
_cell_angle_beta 90.00
_cell_angle_gamma 90.00
loop_
_atom_site_label
_atom_site_type_symbol
_atom_site_fract_x
_atom_site_fract_y
_atom_site_fract_z
Ag1 Ag 0.500 0.500 0.750
Fe1 Fe 0.000 0.000 0.018
Rh1 Rh 0.500 0.500 0.250
Fe2 Fe 0.000 0.000 0.482
```

## Properties
- Space group: P4/mmm, No. 123
- DOS(E_F): 4.989 states/eV/f.u.
- Formation energy from the elements: 189 meV per atom
- VASP energy: -6.593 eV per atom

=====

## FeAgRh2 (PBE-GGA)

Data for an optimized crystal structure of FeAgRh2.

```
data_FeAgRh2
_chemical_formula_sum 'Fe1 Ag1 Rh2'
_symmetry_space_group_name_H-M 'P 1'
_symmetry_Int_Tables_number 1
_symmetry_space_group_name_Hall 'P 1'
_cell_length_a 2.743
_cell_length_b 2.743
_cell_length_c 7.787
_cell_angle_alpha 90.00
_cell_angle_beta 90.00
_cell_angle_gamma 90.00
loop_
_atom_site_label
_atom_site_type_symbol
_atom_site_fract_x
_atom_site_fract_y
_atom_site_fract_z
Ag1 Ag 0.000 0.000 0.508
Fe1 Fe 0.500 0.500 0.767
Rh1 Rh 0.500 0.500 0.233
Rh2 Rh 0.000 0.000 0.992
```

## Properties
- Space group: P4mm, No. 99
- DOS(E_F): 4.816 states/eV/f.u.
- Formation energy from the elements: 172 meV per atom
- ΔE to the lowest computed polymorph: 85.1 meV per atom
- VASP energy: -6.332 eV per atom

=====

## FeAg2Rh (PBE-GGA)

Data for an optimized crystal structure of FeAg2Rh.

```
data_FeAg2Rh
_chemical_formula_sum 'Fe1 Ag2 Rh1'
_symmetry_space_group_name_H-M 'P 1'
_symmetry_Int_Tables_number 1
_symmetry_space_group_name_Hall 'P 1'
_cell_length_a 9.517
_cell_length_b 9.517
_cell_length_c 9.517
_cell_angle_alpha 16.69
_cell_angle_beta 16.69
_cell_angle_gamma 16.69
loop_
_atom_site_label
_atom_site_type_symbol
_atom_site_fract_x
_atom_site_fract_y
_atom_site_fract_z
Fe1 Fe 0.250 0.250 0.250
Rh1 Rh 0.750 0.750 0.750
Ag1 Ag 0.998 0.998 0.998
Ag2 Ag 0.502 0.502 0.502
```

## Properties
- Space group: R-3m, No. 166
- DOS(E_F): 4.644 states/eV/f.u.
- Formation energy from the elements: 332 meV per atom
- ΔE to the lowest computed polymorph: 182.9 meV per atom
- VASP energy: -5.048 eV per atom